# RbHgBiTe3, relaxed, DFT PBE
# Calculated total energy: -2.888 eV/atom
# Raw formation energy: -0.459 eV per atom
data_RbHgBiTe3
_symmetry_space_group_name_H-M 'P 1 21/m 1'
_symmetry_Int_Tables_number 11
_cell_length_a 9.811
_cell_length_b 4.622
_cell_length_c 10.980
_cell_angle_alpha 90.00
_cell_angle_beta 106.86
_cell_angle_gamma 90.00
loop_
_symmetry_equiv_pos_as_xyz
'x,y,z'
'-x,-y,-z'
'-x,y+1/2,-z'
'x,-y+1/2,z'
loop_
_atom_site_label
_atom_site_fract_x
_atom_site_fract_y
_atom_site_fract_z
_atom_site_occupancy
Rb1 0.209 0.250 0.258 1
Hg1 0.085 0.250 0.620 1
Bi1 0.328 0.750 0.874 1
Te1 0.109 0.250 0.884 1
Te2 0.223 0.750 0.544 1
Te3 0.458 0.750 0.156 1

***

# RbHgBi2Te, relaxed, DFT PBE
# Calculated total energy: -2.290 eV/atom
# Raw formation energy: 0.145 eV per atom
data_RbHgBi2Te
_symmetry_space_group_name_H-M 'P 4/m m m'
_symmetry_Int_Tables_number 123
_symmetry_space_group_name_Hall '-P 4 2'
_cell_length_a 6.109
_cell_length_b 6.109
_cell_length_c 5.755
_cell_angle_alpha 90.00
_cell_angle_beta 90.00
_cell_angle_gamma 90.00
loop_
_atom_site_label
_atom_site_fract_x
_atom_site_fract_y
_atom_site_fract_z
_atom_site_occupancy
Rb1 0.000 0.000 0.000 1
Hg1 0.500 0.500 0.000 1
Bi1 0.000 0.500 0.500 1
Te1 0.500 0.500 0.500 1

***

# RbHgBi2Te4, relaxed, DFT PBE
# Calculated total energy: -3.019 eV/atom
# Raw formation energy: -0.319 eV per atom
data_RbHgBi2Te4
_symmetry_space_group_name_H-M 'C m c m'
_symmetry_Int_Tables_number 63
_symmetry_space_group_name_Hall '-C 2c 2'
_cell_length_a 4.666
_cell_length_b 15.115
_cell_length_c 17.020
_cell_angle_alpha 90.00
_cell_angle_beta 90.00
_cell_angle_gamma 90.00
loop_
_atom_site_label
_atom_site_fract_x
_atom_site_fract_y
_atom_site_fract_z
_atom_site_occupancy
Rb1 0.000 0.125 0.250 1
Hg1 0.000 0.172 0.750 1
Bi1 0.000 0.370 0.063 1
Te1 0.000 0.000 0.000 1
Te2 0.000 0.267 0.600 1
Te3 0.000 0.441 0.250 1

***

# RbHg2BiTe, relaxed, DFT PBE
# Calculated total energy: -1.938 eV/atom
# Raw formation energy: -0.220 eV per atom
data_RbHg2BiTe
_symmetry_space_group_name_H-M 'P 4/m m m'
_symmetry_Int_Tables_number 123
_symmetry_space_group_name_Hall '-P 4 2'
_cell_length_a 5.954
_cell_length_b 5.954
_cell_length_c 6.342
_cell_angle_alpha 90.00
_cell_angle_beta 90.00
_cell_angle_gamma 90.00
loop_
_atom_site_label
_atom_site_fract_x
_atom_site_fract_y
_atom_site_fract_z
_atom_site_occupancy
Rb1 0.000 0.000 0.000 1
Hg1 0.000 0.500 0.500 1
Bi1 0.500 0.500 0.500 1
Te1 0.500 0.500 0.000 1